A geometry-optimized ZrMoC2 structure. Source: Alexandria, functional PBE.

Summary:
The symmetry is No. 123. The excess energy over the best structure of this formula in the dataset comes out at 0.41 eV/f.u.

Lattice parameters (Å, degrees): 3.2185 3.2185 4.5144 90.00 90.00 90.00
Fractional positions:
Mo1 0.0000 0.0000 0.3750
C1 0.0000 0.0000 0.8750
C2 0.5000 0.5000 0.3750
Zr1 0.5000 0.5000 0.8750

=====

A geometry-optimized CsTiCuSe3 structure. Source: Alexandria, functional PBE.

Summary:
The symmetry is No. 11. The calculation puts the uncorrected formation energy at -0.9650 eV/atom.

Lattice parameters (Å, degrees): 3.8032 8.3870 10.0060 90.00 90.00 103.08
Fractional positions:
Cs1 0.7500 0.4991 0.7500
Cs2 0.2500 0.5009 0.2500
Cu1 0.4687 0.9348 0.7500
Cu2 0.5313 0.0652 0.2500
Se1 0.3929 0.7855 0.9550
Se2 0.9405 0.8826 0.2500
Se3 0.6071 0.2145 0.4550
Se4 0.6071 0.2145 0.0450
Se5 0.3929 0.7855 0.5450
Se6 0.0595 0.1174 0.7500
Ti1 0.0000 0.0000 0.0000
Ti2 0.0000 0.0000 0.5000

=====

A geometry-optimized CoMoPdS2 structure. Source: Alexandria, functional PBE.

Summary:
The symmetry is No. 123. The calculation puts the uncorrected formation energy at 0.8491 eV/atom.

Lattice parameters (Å, degrees): 4.1815 4.6802 4.1815 90.00 90.00 90.00
Fractional positions:
Mo1 0.5000 0.5000 0.5000
Co1 0.0000 0.0000 0.0000
S1 0.0000 0.0000 0.5000
S2 0.5000 0.0000 0.0000
Pd1 0.0000 0.5000 0.0000

=====

A geometry-optimized ErHfAl2 structure. Source: Alexandria, functional PBE.

Summary:
The symmetry is No. 123. The excess energy over the best structure of this formula in the dataset comes out at 0.07 eV/f.u.

Lattice parameters (Å, degrees): 4.0745 4.4980 4.4980 90.00 90.00 90.00
Fractional positions:
Hf1 0.5000 0.0000 0.0000
Al1 0.0000 0.0000 0.5000
Al2 0.0000 0.5000 0.0000
Er1 0.5000 0.5000 0.5000

=====

A geometry-optimized Er6Tm5Sc2 structure. Source: Alexandria, functional PBE.

Summary:
The symmetry is No. 55. The total energy comes out at -4.746 eV/atom.

Lattice parameters (Å, degrees): 3.5016 11.1348 19.8125 90.00 90.00 90.00
Fractional positions:
Er1 0.0000 0.1654 0.3838
Er2 0.0000 0.8346 0.6162
Er3 0.0000 0.6654 0.1162
Er4 0.0000 0.3346 0.8838
Er5 0.5000 0.4183 0.1548
Er6 0.5000 0.5817 0.8452
Er7 0.5000 0.9183 0.3452
Er8 0.5000 0.0817 0.6548
Er9 0.0000 0.7168 0.4447
Er10 0.0000 0.2832 0.5553
Er11 0.0000 0.2168 0.0553
Er12 0.0000 0.7832 0.9447
Tm1 0.5000 0.4381 0.4221
Tm2 0.5000 0.5619 0.5779
Tm3 0.5000 0.9381 0.0779
Tm4 0.5000 0.0619 0.9221
Tm5 0.5000 0.6427 0.2801
Tm6 0.5000 0.3573 0.7199
Tm7 0.5000 0.1427 0.2199
Tm8 0.5000 0.8573 0.7801
Tm9 0.5000 0.5000 0.0000
Tm10 0.5000 0.0000 0.5000
Sc1 0.0000 0.3835 0.2866
Sc2 0.0000 0.6165 0.7134
Sc3 0.0000 0.8835 0.2134
Sc4 0.0000 0.1165 0.7866

=====

A geometry-optimized SrTaMn structure. Source: Alexandria, functional PBE.

Summary:
The symmetry is No. 216. The excess energy over the best structure of this formula in the dataset comes out at 4.87 eV/f.u.

Lattice parameters (Å, degrees): 5.0037 5.0037 5.0037 60.00 60.00 60.00
Fractional positions:
Mn1 0.5000 0.5000 0.5000
Sr1 0.7500 0.7500 0.7500
Ta1 0.0000 0.0000 0.0000

=====

A geometry-optimized NiAs2Ir structure. Source: Alexandria, functional PBE.

Summary:
The symmetry is No. 12. The excess energy over the best structure of this formula in the dataset comes out at 1.07 eV/f.u.

Lattice parameters (Å, degrees): 4.1575 4.1575 5.2107 78.51 78.51 42.63
Fractional positions:
As1 0.9987 0.9987 0.9911
As2 0.5013 0.5013 0.5089
Ir1 0.2500 0.2500 0.2500
Ni1 0.7500 0.7500 0.7500